## w
# PBE ScCr2Ir2, optimized geometry
data_ScCr2Ir2
_chemical_formula_sum 'Sc2 Cr4 Ir4'
_space_group_name_H-M_alt 'P 4/m b m'
_space_group_IT_number 127
_space_group_name_Hall '-P 4 2ab'
_cell_length_a 7.3754
_cell_length_b 7.3754
_cell_length_c 2.7236
_cell_angle_alpha 90.00
_cell_angle_beta 90.00
_cell_angle_gamma 90.00
loop_
_atom_site_label
_atom_site_type_symbol
_atom_site_fract_x
_atom_site_fract_y
_atom_site_fract_z
_atom_site_occupancy
Sc1 Sc 0.0000 0.0000 0.0000 1
Cr1 Cr 0.1117 0.3883 0.0000 1
Ir1 Ir 0.1768 0.6768 0.5000 1
# - crystal system = tetragonal
# - size of the total moment (μB/atom) = 0.000
# - DOS at the Fermi energy (states/eV/f.u.) = 6.64
# - theoretical density (g cm⁻³) = 11.96

***

## x
# PBE ScCr2Ir2, optimized geometry
data_ScCr2Ir2
_chemical_formula_sum 'Sc2 Cr4 Ir4'
_space_group_name_H-M_alt 'P 4/m b m'
_space_group_IT_number 127
_space_group_name_Hall '-P 4 2ab'
_cell_length_a 7.3865
_cell_length_b 7.3865
_cell_length_c 2.7443
_cell_angle_alpha 90.00
_cell_angle_beta 90.00
_cell_angle_gamma 90.00
loop_
_atom_site_label
_atom_site_type_symbol
_atom_site_fract_x
_atom_site_fract_y
_atom_site_fract_z
_atom_site_occupancy
Sc1 Sc 0.0000 0.0000 0.0000 1
Cr1 Cr 0.1664 0.3336 0.5000 1
Ir1 Ir 0.1298 0.6298 0.0000 1
# - crystal system = tetragonal
# - size of the total moment (μB/atom) = 0.317
# - DOS at the Fermi energy (states/eV/f.u.) = 5.05
# - theoretical density (g cm⁻³) = 11.83

***

## y
# PBE ScCr2Ir2, optimized geometry
data_ScCr2Ir2
_chemical_formula_sum 'Sc2 Cr4 Ir4'
_space_group_name_H-M_alt 'I 4/m m m'
_space_group_IT_number 139
_space_group_name_Hall '-I 4 2'
_cell_length_a 3.9824
_cell_length_b 3.9824
_cell_length_c 10.4527
_cell_angle_alpha 90.00
_cell_angle_beta 90.00
_cell_angle_gamma 90.00
loop_
_atom_site_label
_atom_site_type_symbol
_atom_site_fract_x
_atom_site_fract_y
_atom_site_fract_z
_atom_site_occupancy
Sc1 Sc 0.0000 0.0000 0.0000 1
Cr1 Cr 0.0000 0.5000 0.2500 1
Ir1 Ir 0.0000 0.0000 0.3814 1
# - crystal system = tetragonal
# - size of the total moment (μB/atom) = 0.337
# - DOS at the Fermi energy (states/eV/f.u.) = 5.54
# - theoretical density (g cm⁻³) = 10.69

***

Which is the most stable structure? w is the most stable.